Here is a relaxed structure of GaCuSn from Alexandria. Energies are from PBE.

Summary:
N(E_F)   3.392 states/eV per cell
E_form   31 meV/atom

Cell: 5.734 3.293 11.844 Å, 90.00 90.00 90.00°
Positions (direct):
Sn: 0.750 0.250 0.089
Sn: 0.250 0.250 0.411
Sn: 0.250 0.750 0.911
Sn: 0.750 0.750 0.589
Cu: 0.500 0.750 0.250
Cu: 0.000 0.750 0.250
Cu: 0.000 0.250 0.750
Cu: 0.500 0.250 0.750
Ga: 0.750 0.250 0.373
Ga: 0.750 0.750 0.873
Ga: 0.250 0.250 0.127
Ga: 0.250 0.750 0.627



Here is a relaxed structure of GaCuSn from Alexandria. Energies are from PBE.

Summary:
N(E_F)   3.960 states/eV per cell
E_form   532 meV/atom

Cell: 4.063 4.063 10.934 Å, 90.00 90.00 120.00°
Positions (direct):
Sn: 0.000 0.000 0.500
Sn: 0.000 0.000 0.000
Cu: 0.667 0.333 0.750
Cu: 0.333 0.667 0.250
Ga: 0.000 0.000 0.250
Ga: 0.000 0.000 0.750



Here is a relaxed structure of GaCuSn from Alexandria. Energies are from PBE.

Summary:
N(E_F)   2.760 states/eV per cell
E_form   40 meV/atom

Cell: 8.758 4.061 4.055 Å, 120.01 103.22 89.99°
Positions (direct):
Sn: 0.993 0.379 0.080
Sn: 0.750 0.966 0.252
Ga: 0.450 0.198 0.719
Ga: 0.216 0.786 0.896
Cu: 0.309 0.483 0.291
Cu: 0.594 0.581 0.483



Here is a relaxed structure of Ga2Cu2Sn from Alexandria. Energies are from PBE.

Summary:
N(E_F)   2.979 states/eV per cell
E_form   88 meV/atom

Cell: 7.775 7.775 2.820 Å, 90.00 90.00 90.00°
Positions (direct):
Sn: 0.000 0.000 0.000
Sn: 0.500 0.500 0.000
Ga: 0.871 0.629 0.000
Ga: 0.629 0.129 0.000
Ga: 0.371 0.871 0.000
Ga: 0.129 0.371 0.000
Cu: 0.666 0.834 0.500
Cu: 0.166 0.666 0.500
Cu: 0.834 0.334 0.500
Cu: 0.334 0.166 0.500



What is the N(E_F) in the second record?
3.960 states/eV per cell



Among the records above, which one has the highest E_form?
number 2